(1)
11
Lattice="9.543 -2.271 0.000 9.543 2.271 0.000 -0.987 0.000 8.552" Properties=species:S:1:pos:R:3 comment="Ca8Ag2Au, relaxed, DFT GGA-PBE" final_energy_ev_per_atom=-2.53 sg=C2/m ef_mev_per_atom=-260 pbc="T T T"
Ca -0.259 0.000 2.411
Ca 3.197 0.000 7.174
Ca 6.021 0.000 4.368
Ca 6.727 0.000 8.212
Ca 11.372 0.000 0.340
Ca 12.078 0.000 4.185
Ca 14.902 0.000 1.378
Ca 18.357 0.000 6.141
Ag 3.296 0.000 1.980
Ag 14.802 0.000 6.572
Au 9.049 0.000 4.276

(2)
20
Lattice="11.286 0.000 0.000 0.000 4.301 0.000 -4.571 0.000 12.511" Properties=species:S:1:pos:R:3 comment="Ca6Ag3Au, relaxed, DFT GGA-PBE" final_energy_ev_per_atom=-2.72 sg=P2_1/m ef_mev_per_atom=-332 pbc="T T T"
Ca -1.520 1.075 4.741
Ca -3.195 1.075 11.302
Ca 1.350 3.226 4.064
Ca 0.253 3.226 9.893
Ca 3.433 3.226 1.345
Ca 1.932 1.075 7.116
Ca 4.782 3.226 5.396
Ca 3.281 1.075 11.166
Ca 6.461 1.075 2.618
Ca 5.364 1.075 8.448
Ca 9.909 3.226 1.209
Ca 8.235 3.226 7.770
Ag 0.857 1.075 1.928
Ag -0.258 3.226 6.685
Ag 0.180 1.075 12.097
Ag 6.535 3.226 0.415
Ag 6.972 1.075 5.826
Ag 5.857 3.226 10.584
Au 3.457 1.075 3.669
Au 3.257 3.226 8.842